Compound: EuNpHgSb
Source: Alexandria via LeMat-Bulk
Functional: PBE
Structure: optimized geometry

a = 5.427 Å, b = 5.427 Å, c = 5.427 Å
α = 60.00°, β = 60.00°, γ = 60.00°
Element x y z (fractional)
Eu1 0.000 0.000 0.000
Np1 0.500 0.500 0.500
Hg1 0.250 0.250 0.250
Sb1 0.750 0.750 0.750

Computed properties:
As for the spin magnetization: 1.916 μB/cell. The calculated total energy comes out at -28.521 eV per formula unit. As for the raw formation energy: -0.220 eV per atom.